[1]
# NbMo4W

A geometry-optimized NbMo4W structure (PBE, Alexandria via LeMat-Bulk).

Results
Relative energy among the computed polymorphs   0.0 meV/atom
Fermi-level density of states   3.07 states/eV/f.u.
Magnetization   0.00 μB per atom
Crystal system   monoclinic
DFT total energy   -11.14 eV/atom

CIF file:
```
data_NbMo4W
_chemical_formula_sum 'Nb2 Mo8 W2'
_cell_length_a 10.0683
_cell_length_b 3.1890
_cell_length_c 6.3857
_cell_angle_alpha 90.00
_cell_angle_beta 108.21
_cell_angle_gamma 90.00
_space_group_name_H-M_alt 'C 1 2/m 1'
_space_group_IT_number 12
_space_group_name_Hall '-C 2y'
loop_
_atom_site_label
_atom_site_type_symbol
_atom_site_fract_x
_atom_site_fract_y
_atom_site_fract_z
_atom_site_occupancy
Nb1 Nb 0.0000 0.0000 0.0000 1
Mo1 Mo 0.1672 0.5000 0.8311 1
Mo2 Mo 0.1691 0.5000 0.3367 1
W1 W 0.0000 0.0000 0.5000 1
```


[2]
# ZrPaNiIr

A geometry-optimized ZrPaNiIr structure (PBE, Alexandria via LeMat-Bulk).

Results
Relative energy among the computed polymorphs   199.4 meV/atom
Fermi-level density of states   6.25 states/eV/f.u.
Magnetization   0.00 μB per atom
Crystal system   cubic
DFT total energy   -8.61 eV/atom

CIF file:
```
data_ZrPaNiIr
_chemical_formula_sum 'Zr4 Pa4 Ni4 Ir4'
_cell_length_a 6.7072
_cell_length_b 6.7072
_cell_length_c 6.7072
_cell_angle_alpha 90.00
_cell_angle_beta 90.00
_cell_angle_gamma 90.00
_space_group_name_H-M_alt 'F -4 3 m'
_space_group_IT_number 216
_space_group_name_Hall 'F -4 2 3'
loop_
_atom_site_label
_atom_site_type_symbol
_atom_site_fract_x
_atom_site_fract_y
_atom_site_fract_z
_atom_site_occupancy
Zr1 Zr 0.0000 0.0000 0.0000 1
Pa1 Pa 0.0000 0.0000 0.5000 1
Ni1 Ni 0.2500 0.2500 0.7500 1
Ir1 Ir 0.2500 0.2500 0.2500 1
```


[3]
# Y3ZnC

A geometry-optimized Y3ZnC structure (PBE, Alexandria via LeMat-Bulk).

Results
Relative energy among the computed polymorphs   0.0 meV/atom
Fermi-level density of states   4.70 states/eV/f.u.
Magnetization   0.00 μB per atom
Crystal system   orthorhombic
DFT total energy   -6.28 eV/atom

CIF file:
```
data_Y3ZnC
_chemical_formula_sum 'Y12 Zn4 C4'
_cell_length_a 6.9902
_cell_length_b 9.6657
_cell_length_c 6.7774
_cell_angle_alpha 90.00
_cell_angle_beta 90.00
_cell_angle_gamma 90.00
_space_group_name_H-M_alt 'P n m a'
_space_group_IT_number 62
_space_group_name_Hall '-P 2ac 2n'
loop_
_atom_site_label
_atom_site_type_symbol
_atom_site_fract_x
_atom_site_fract_y
_atom_site_fract_z
_atom_site_occupancy
Y1 Y 0.0140 0.2500 0.0865 1
Y2 Y 0.2198 0.0415 0.7158 1
Zn1 Zn 0.0416 0.7500 0.4837 1
C1 C 0.0000 0.0000 0.0000 1
```


[4]
# KTc2

A geometry-optimized KTc2 structure (PBE, Alexandria via LeMat-Bulk).

Results
Relative energy among the computed polymorphs   258.4 meV/atom
Fermi-level density of states   1.22 states/eV/f.u.
Magnetization   0.00 μB per atom
Crystal system   trigonal
DFT total energy   -6.44 eV/atom

CIF file:
```
data_KTc2
_chemical_formula_sum 'K1 Tc2'
_cell_length_a 2.8539
_cell_length_b 2.8539
_cell_length_c 8.0595
_cell_angle_alpha 90.00
_cell_angle_beta 90.00
_cell_angle_gamma 120.00
_space_group_name_H-M_alt 'P -3 m 1'
_space_group_IT_number 164
_space_group_name_Hall '-P 3 2"'
loop_
_atom_site_label
_atom_site_type_symbol
_atom_site_fract_x
_atom_site_fract_y
_atom_site_fract_z
_atom_site_occupancy
K1 K 0.0000 0.0000 0.0000 1
Tc1 Tc 0.3333 0.6667 0.6232 1
```


[5]
# NaLa3Ag

A geometry-optimized NaLa3Ag structure (PBE, Alexandria via LeMat-Bulk).

Results
Relative energy among the computed polymorphs   0.0 meV/atom
Fermi-level density of states   9.58 states/eV/f.u.
Magnetization   0.27 μB per atom
Crystal system   cubic
DFT total energy   -3.49 eV/atom

CIF file:
```
data_NaLa3Ag
_chemical_formula_sum 'Na1 La3 Ag1'
_cell_length_a 5.9594
_cell_length_b 5.9594
_cell_length_c 5.9594
_cell_angle_alpha 90.00
_cell_angle_beta 90.00
_cell_angle_gamma 90.00
_space_group_name_H-M_alt 'P m -3 m'
_space_group_IT_number 221
_space_group_name_Hall '-P 4 2 3'
loop_
_atom_site_label
_atom_site_type_symbol
_atom_site_fract_x
_atom_site_fract_y
_atom_site_fract_z
_atom_site_occupancy
Na1 Na 0.0000 0.0000 0.0000 1
La1 La 0.0000 0.5000 0.5000 1
Ag1 Ag 0.5000 0.5000 0.5000 1
```


[6]
# YHf2Ni2

A geometry-optimized YHf2Ni2 structure (PBE, Alexandria via LeMat-Bulk).

Results
Relative energy among the computed polymorphs   25.6 meV/atom
Fermi-level density of states   4.29 states/eV/f.u.
Magnetization   0.00 μB per atom
Crystal system   tetragonal
DFT total energy   -7.86 eV/atom

CIF file:
```
data_YHf2Ni2
_chemical_formula_sum 'Y2 Hf4 Ni4'
_cell_length_a 7.5301
_cell_length_b 7.5301
_cell_length_c 3.3107
_cell_angle_alpha 90.00
_cell_angle_beta 90.00
_cell_angle_gamma 90.00
_space_group_name_H-M_alt 'P 4/m b m'
_space_group_IT_number 127
_space_group_name_Hall '-P 4 2ab'
loop_
_atom_site_label
_atom_site_type_symbol
_atom_site_fract_x
_atom_site_fract_y
_atom_site_fract_z
_atom_site_occupancy
Y1 Y 0.0000 0.0000 0.0000 1
Hf1 Hf 0.1579 0.3421 0.5000 1
Ni1 Ni 0.1215 0.6215 0.0000 1
```


[7]
# Sr3LaHo3Te8

A geometry-optimized Sr3LaHo3Te8 structure (PBE, Alexandria via LeMat-Bulk).

Results
Fermi-level density of states   5.20 states/eV/f.u.
Magnetization   0.00 μB per atom
ΔE_f (raw)   -1522.7 meV/atom
Crystal system   trigonal
DFT total energy   -4.78 eV/atom

CIF file:
```
data_Sr3LaHo3Te8
_chemical_formula_sum 'Sr9 La3 Ho9 Te24'
_cell_length_a 8.9246
_cell_length_b 8.9246
_cell_length_c 22.7587
_cell_angle_alpha 90.00
_cell_angle_beta 90.00
_cell_angle_gamma 120.00
_space_group_name_H-M_alt 'R -3 m'
_space_group_IT_number 166
_space_group_name_Hall '-R 3 2"'
loop_
_atom_site_label
_atom_site_type_symbol
_atom_site_fract_x
_atom_site_fract_y
_atom_site_fract_z
_atom_site_occupancy
Sr1 Sr 0.0000 0.5000 0.0000 1
La1 La 0.0000 0.0000 0.5000 1
Ho1 Ho 0.0000 0.5000 0.5000 1
Te1 Te 0.0000 0.0000 0.2431 1
Te2 Te 0.0166 0.5083 0.7542 1
```


[8]
# Ba2CdBiP

A geometry-optimized Ba2CdBiP structure (PBE, Alexandria via LeMat-Bulk).

Results
Relative energy among the computed polymorphs   0.0 meV/atom
Fermi-level density of states   0.04 states/eV/f.u.
Magnetization   0.00 μB per atom
Crystal system   monoclinic
DFT total energy   -3.62 eV/atom

CIF file:
```
data_Ba2CdBiP
_chemical_formula_sum 'Ba4 Cd2 Bi2 P2'
_cell_length_a 8.2305
_cell_length_b 4.8032
_cell_length_c 10.0496
_cell_angle_alpha 90.00
_cell_angle_beta 106.63
_cell_angle_gamma 90.00
_space_group_name_H-M_alt 'P 1 21/m 1'
_space_group_IT_number 11
_space_group_name_Hall '-P 2yb'
loop_
_atom_site_label
_atom_site_type_symbol
_atom_site_fract_x
_atom_site_fract_y
_atom_site_fract_z
_atom_site_occupancy
Ba1 Ba 0.1824 0.2500 0.3890 1
Ba2 Ba 0.2222 0.2500 0.9714 1
Cd1 Cd 0.4810 0.7500 0.2650 1
Bi1 Bi 0.3043 0.7500 0.6954 1
P1 P 0.1640 0.7500 0.1737 1
```